LiBiP4O12: optimized geometry, PBE-GGA.

## Properties
- relative energy among the computed polymorphs (meV/atom) = 45
- energy (eV per cell) = -247.81
- formation energy from raw total energies (meV per atom) = -2054.1

a = 10.6102 Å, b = 10.6102 Å, c = 5.2506 Å
α = 102.30°, β = 102.30°, γ = 69.51°
Element x y z (fractional)
Li1 0.0000 0.5000 0.0000
Li2 0.5000 0.0000 0.0000
Bi1 0.1668 0.1668 0.7346
Bi2 0.8332 0.8332 0.2654
P1 0.0935 0.7325 0.8129
P2 0.2151 0.4546 0.5664
P3 0.2675 0.9065 0.1871
P4 0.4546 0.2151 0.5664
P5 0.5454 0.7849 0.4336
P6 0.7325 0.0935 0.8129
P7 0.7849 0.5454 0.4336
P8 0.9065 0.2675 0.1871
O1 0.0009 0.2920 0.0389
O2 0.0310 0.7942 0.5639
O3 0.1413 0.3890 0.6941
O4 0.1676 0.4728 0.2867
O5 0.1708 0.8292 0.0000
O6 0.2058 0.9690 0.4361
O7 0.2176 0.5961 0.7587
O8 0.2920 0.0009 0.0389
O9 0.3765 0.3765 0.6232
O10 0.3890 0.1413 0.6941
O11 0.4039 0.7824 0.2413
O12 0.4728 0.1676 0.2867
O13 0.5272 0.8324 0.7133
O14 0.5961 0.2176 0.7587
O15 0.6110 0.8587 0.3059
O16 0.6235 0.6235 0.3768
O17 0.7080 0.9991 0.9611
O18 0.7824 0.4039 0.2413
O19 0.7942 0.0310 0.5639
O20 0.8292 0.1708 0.0000
O21 0.8324 0.5272 0.7133
O22 0.8587 0.6110 0.3059
O23 0.9690 0.2058 0.4361
O24 0.9991 0.7080 0.9611